Arrangement P

A plane-wave DFT calculation with PBE-GGA was carried out for a relaxed structure of Dy3Te3N.

**Theoretical density**: 7.34 g/cm³

a = 8.132 Å, b = 12.035 Å, c = 8.655 Å
α = 90.00°, β = 109.19°, γ = 90.00°
Positions (direct):
Dy 0.100 0.023 0.360
Dy 0.100 0.477 0.860
Dy 0.268 0.708 0.154
Dy 0.268 0.792 0.654
Dy 0.341 0.088 0.795
Dy 0.341 0.412 0.295
Dy 0.659 0.588 0.705
Dy 0.659 0.912 0.205
Dy 0.732 0.208 0.346
Dy 0.732 0.292 0.846
Dy 0.900 0.523 0.140
Dy 0.900 0.977 0.640
Te 0.007 0.233 0.689
Te 0.007 0.267 0.189
Te 0.274 0.522 0.584
Te 0.274 0.978 0.084
Te 0.452 0.192 0.516
Te 0.452 0.308 0.016
Te 0.548 0.692 0.984
Te 0.548 0.808 0.484
Te 0.726 0.022 0.916
Te 0.726 0.478 0.416
Te 0.993 0.733 0.811
Te 0.993 0.767 0.311
N 0.174 0.535 0.123
N 0.174 0.965 0.623
N 0.826 0.035 0.377
N 0.826 0.465 0.877

***

Arrangement Q

A plane-wave DFT calculation with PBE-GGA was carried out for a relaxed structure of Dy3Te3N.

**Theoretical density**: 7.53 g/cm³

a = 13.644 Å, b = 4.136 Å, c = 13.829 Å
α = 90.00°, β = 90.00°, γ = 90.00°
Positions (direct):
Dy 0.040 0.250 0.160
Dy 0.051 0.250 0.636
Dy 0.184 0.250 0.849
Dy 0.316 0.750 0.349
Dy 0.449 0.750 0.136
Dy 0.460 0.750 0.660
Dy 0.540 0.250 0.340
Dy 0.551 0.250 0.864
Dy 0.684 0.250 0.651
Dy 0.816 0.750 0.151
Dy 0.949 0.750 0.364
Dy 0.960 0.750 0.840
Te 0.107 0.250 0.398
Te 0.124 0.750 0.997
Te 0.220 0.750 0.679
Te 0.280 0.250 0.179
Te 0.376 0.250 0.497
Te 0.393 0.750 0.898
Te 0.607 0.250 0.102
Te 0.624 0.750 0.503
Te 0.720 0.750 0.821
Te 0.780 0.250 0.321
Te 0.876 0.250 0.003
Te 0.893 0.750 0.602
N 0.032 0.250 0.793
N 0.468 0.750 0.293
N 0.532 0.250 0.707
N 0.968 0.750 0.207

***

Most stable to least stable: arrangement P, arrangement Q

***

Arrangement P

A plane-wave DFT calculation with PBE-GGA was carried out for a relaxed structure of Dy4Te3N2.

**Theoretical density**: 7.45 g/cm³

a = 7.286 Å, b = 11.748 Å, c = 13.057 Å
α = 90.00°, β = 122.22°, γ = 90.00°
Positions (direct):
Dy 0.061 0.159 0.388
Dy 0.061 0.341 0.888
Dy 0.131 0.105 0.164
Dy 0.131 0.395 0.664
Dy 0.227 0.639 0.860
Dy 0.227 0.861 0.360
Dy 0.293 0.085 0.814
Dy 0.293 0.415 0.314
Dy 0.707 0.585 0.686
Dy 0.707 0.915 0.186
Dy 0.773 0.139 0.640
Dy 0.773 0.361 0.140
Dy 0.869 0.605 0.336
Dy 0.869 0.895 0.836
Dy 0.939 0.659 0.112
Dy 0.939 0.841 0.612
Te 0.224 0.653 0.603
Te 0.224 0.847 0.103
Te 0.356 0.518 0.104
Te 0.356 0.982 0.604
Te 0.442 0.163 0.071
Te 0.442 0.337 0.571
Te 0.558 0.663 0.429
Te 0.558 0.837 0.929
Te 0.644 0.018 0.396
Te 0.644 0.482 0.896
Te 0.776 0.153 0.897
Te 0.776 0.347 0.397
N 0.019 0.012 0.269
N 0.019 0.488 0.769
N 0.083 0.240 0.745
N 0.083 0.260 0.245
N 0.917 0.740 0.755
N 0.917 0.760 0.255
N 0.981 0.512 0.231
N 0.981 0.988 0.731

***

Arrangement Q

A plane-wave DFT calculation with PBE-GGA was carried out for a relaxed structure of Dy4Te3N2.

**Theoretical density**: 7.80 g/cm³

a = 8.476 Å, b = 8.476 Å, c = 6.524 Å
α = 91.13°, β = 91.13°, γ = 74.48°
Positions (direct):
Dy 0.060 0.669 0.975
Dy 0.254 0.396 0.409
Dy 0.331 0.940 0.525
Dy 0.396 0.254 0.909
Dy 0.604 0.746 0.091
Dy 0.669 0.060 0.475
Dy 0.746 0.604 0.591
Dy 0.940 0.331 0.025
Te 0.022 0.756 0.455
Te 0.244 0.978 0.045
Te 0.410 0.590 0.750
Te 0.590 0.410 0.250
Te 0.756 0.022 0.955
Te 0.978 0.244 0.545
N 0.168 0.411 0.077
N 0.411 0.168 0.577
N 0.589 0.832 0.423
N 0.832 0.589 0.923

***

Most stable to least stable: arrangement P, arrangement Q